(1)
## HfMg5Pd6 (GGA-PBE)

Data for a geometry-optimized HfMg5Pd6 structure.

Magnetic moment: 0.00 μB/f.u.
E: -4.8283 eV/atom

The structure in CIF format:
```
data_HfMg5Pd6
_chemical_formula_sum 'Hf2 Mg10 Pd12'
_symmetry_space_group_name_H-M 'C 1 2/m 1'
_symmetry_Int_Tables_number 12
_symmetry_space_group_name_Hall '-C 2y'
_cell_length_a 14.352
_cell_length_b 6.411
_cell_length_c 4.561
_cell_angle_alpha 90.00
_cell_angle_beta 108.20
_cell_angle_gamma 90.00
loop_
_atom_site_label
_atom_site_type_symbol
_atom_site_fract_x
_atom_site_fract_y
_atom_site_fract_z
Hf1 Hf 0.000 0.000 0.000
Mg1 Mg 0.000 0.500 0.000
Mg2 Mg 0.166 0.500 0.666
Mg3 Mg 0.169 0.000 0.668
Pd1 Pd 0.000 0.249 0.500
Pd2 Pd 0.165 0.246 0.164
```

***

(2)
## K2ZrBiPd (GGA-PBE)

Data for a geometry-optimized K2ZrBiPd structure.

Magnetic moment: 1.00 μB/f.u.
E: -3.2048 eV/atom

The structure in CIF format:
```
data_K2ZrBiPd
_chemical_formula_sum 'K2 Zr1 Bi1 Pd1'
_symmetry_space_group_name_H-M 'P 4/m m m'
_symmetry_Int_Tables_number 123
_symmetry_space_group_name_Hall '-P 4 2'
_cell_length_a 6.432
_cell_length_b 6.432
_cell_length_c 5.618
_cell_angle_alpha 90.00
_cell_angle_beta 90.00
_cell_angle_gamma 90.00
loop_
_atom_site_label
_atom_site_type_symbol
_atom_site_fract_x
_atom_site_fract_y
_atom_site_fract_z
K1 K 0.000 0.500 0.000
Zr1 Zr 0.000 0.000 0.500
Bi1 Bi 0.000 0.000 0.000
Pd1 Pd 0.500 0.500 0.500
```

***

(3)
## La6Te3As2I (GGA-PBE)

Data for a geometry-optimized La6Te3As2I structure.

Magnetic moment: 0.00 μB/f.u.
Formation energy from raw total energies: -1530 meV per atom
E: -5.6835 eV/atom

The structure in CIF format:
```
data_La6Te3As2I
_chemical_formula_sum 'La12 Te6 As4 I2'
_symmetry_space_group_name_H-M 'C 1 2/m 1'
_symmetry_Int_Tables_number 12
_symmetry_space_group_name_Hall '-C 2y'
_cell_length_a 19.674
_cell_length_b 4.477
_cell_length_c 9.102
_cell_angle_alpha 90.00
_cell_angle_beta 103.18
_cell_angle_gamma 90.00
loop_
_atom_site_label
_atom_site_type_symbol
_atom_site_fract_x
_atom_site_fract_y
_atom_site_fract_z
La1 La 0.012 0.000 0.263
La2 La 0.173 0.500 0.111
La3 La 0.173 0.500 0.569
Te1 Te 0.000 0.500 0.500
Te2 Te 0.161 0.000 0.834
As1 As 0.169 0.000 0.335
I1 I 0.000 0.500 0.000
```

***

(4)
## RbHoScCl6 (GGA-PBE)

Data for a geometry-optimized RbHoScCl6 structure.

Magnetic moment: 1.02 μB/f.u.
Formation energy from raw total energies: -2078 meV per atom
E: -4.6284 eV/atom

The structure in CIF format:
```
data_RbHoScCl6
_chemical_formula_sum 'Rb2 Ho2 Sc2 Cl12'
_symmetry_space_group_name_H-M 'P -3 1 c'
_symmetry_Int_Tables_number 163
_symmetry_space_group_name_Hall '-P 3 2c'
_cell_length_a 6.7769
_cell_length_b 6.7769
_cell_length_c 14.9793
_cell_angle_alpha 90.00
_cell_angle_beta 90.00
_cell_angle_gamma 120.00
loop_
_atom_site_label
_atom_site_type_symbol
_atom_site_fract_x
_atom_site_fract_y
_atom_site_fract_z
Rb1 Rb 0.0000 0.0000 0.0000
Ho1 Ho 0.3333 0.6667 0.2500
Sc1 Sc 0.3333 0.6667 0.7500
Cl1 Cl 0.0057 0.3719 0.6487
```